[1]
Here is a relaxed CaCd2W crystal from Alexandria via LeMat-Bulk. Energies are from PBE.

Geometry as CIF:
```
data_CaCd2W
_cell_length_a 2.952
_cell_length_b 2.952
_cell_length_c 9.578
_cell_angle_alpha 90.00
_cell_angle_beta 90.00
_cell_angle_gamma 89.93
_space_group_name_H-M_alt 'P 1'
_space_group_IT_number 1
loop_
_space_group_symop_operation_xyz
'x,y,z'
loop_
_atom_site_label
_atom_site_type_symbol
_atom_site_fract_x
_atom_site_fract_y
_atom_site_fract_z
Cd1 Cd 0.000 0.000 0.481
Ca1 Ca 0.500 0.500 0.750
Cd2 Cd 0.000 0.000 0.019
W1 W 0.500 0.500 0.250
```

- E (eV/atom) = -3.78
- energy relative to the lowest polymorph listed for this composition (eV per atom) = 0.000
- total magnetic moment (μB/f.u.) = 0.00

[2]
Here is a relaxed CePrMg crystal from Alexandria via LeMat-Bulk. Energies are from PBE.

Geometry as CIF:
```
data_CePrMg
_cell_length_a 3.333
_cell_length_b 5.541
_cell_length_c 5.541
_cell_angle_alpha 120.00
_cell_angle_beta 90.00
_cell_angle_gamma 90.00
_space_group_name_H-M_alt 'P 1'
_space_group_IT_number 1
loop_
_space_group_symop_operation_xyz
'x,y,z'
loop_
_atom_site_label
_atom_site_type_symbol
_atom_site_fract_x
_atom_site_fract_y
_atom_site_fract_z
Ce1 Ce 0.029 0.000 0.000
Pr1 Pr 0.621 0.667 0.333
Mg1 Mg 0.350 0.333 0.667
```

- E (eV/atom) = -4.01
- energy relative to the lowest polymorph listed for this composition (eV per atom) = 0.047
- total magnetic moment (μB/f.u.) = 0.96

[3]
Here is a relaxed ScHgRh crystal from Alexandria via LeMat-Bulk. Energies are from PBE.

Geometry as CIF:
```
data_ScHgRh
_cell_length_a 4.507
_cell_length_b 4.507
_cell_length_c 4.507
_cell_angle_alpha 60.00
_cell_angle_beta 60.00
_cell_angle_gamma 60.00
_space_group_name_H-M_alt 'P 1'
_space_group_IT_number 1
loop_
_space_group_symop_operation_xyz
'x,y,z'
loop_
_atom_site_label
_atom_site_type_symbol
_atom_site_fract_x
_atom_site_fract_y
_atom_site_fract_z
Sc1 Sc 0.000 0.000 0.000
Rh1 Rh 0.750 0.750 0.750
Hg1 Hg 0.500 0.500 0.500
```

- E (eV/atom) = -5.05
- total magnetic moment (μB/f.u.) = 0.00

[4]
Here is a relaxed Ce2GdY crystal from Alexandria via LeMat-Bulk. Energies are from PBE.

Geometry as CIF:
```
data_Ce2GdY
_cell_length_a 5.049
_cell_length_b 4.939
_cell_length_c 4.939
_cell_angle_alpha 90.00
_cell_angle_beta 90.00
_cell_angle_gamma 90.00
_space_group_name_H-M_alt 'P 1'
_space_group_IT_number 1
loop_
_space_group_symop_operation_xyz
'x,y,z'
loop_
_atom_site_label
_atom_site_type_symbol
_atom_site_fract_x
_atom_site_fract_y
_atom_site_fract_z
Ce1 Ce 0.000 0.500 0.000
Y1 Y 0.500 0.000 0.000
Ce2 Ce 0.000 0.000 0.500
Gd1 Gd 0.500 0.500 0.500
```

- E (eV/atom) = -7.99
- energy relative to the lowest polymorph listed for this composition (eV per atom) = 0.003
- total magnetic moment (μB/f.u.) = 5.56

[5]
Here is a relaxed VTeBrN2 crystal from Alexandria via LeMat-Bulk. Energies are from PBE.

Geometry as CIF:
```
data_VTeBrN2
_cell_length_a 3.900
_cell_length_b 3.900
_cell_length_c 5.713
_cell_angle_alpha 90.00
_cell_angle_beta 90.00
_cell_angle_gamma 90.00
_space_group_name_H-M_alt 'P 1'
_space_group_IT_number 1
loop_
_space_group_symop_operation_xyz
'x,y,z'
loop_
_atom_site_label
_atom_site_type_symbol
_atom_site_fract_x
_atom_site_fract_y
_atom_site_fract_z
Br1 Br 0.500 0.500 0.500
V1 V 0.000 0.000 0.000
N1 N 0.000 0.500 0.000
Te1 Te 0.000 0.000 0.500
N2 N 0.500 0.000 0.000
```

- E (eV/atom) = -5.59
- energy relative to the lowest polymorph listed for this composition (eV per atom) = 0.000
- total magnetic moment (μB/f.u.) = 0.56
- formation energy without anion corrections (meV/atom) = 527

[6]
Here is a relaxed HfFe2Au crystal from Alexandria via LeMat-Bulk. Energies are from PBE.

Geometry as CIF:
```
data_HfFe2Au
_cell_length_a 4.428
_cell_length_b 4.428
_cell_length_c 4.428
_cell_angle_alpha 60.00
_cell_angle_beta 60.00
_cell_angle_gamma 60.00
_space_group_name_H-M_alt 'P 1'
_space_group_IT_number 1
loop_
_space_group_symop_operation_xyz
'x,y,z'
loop_
_atom_site_label
_atom_site_type_symbol
_atom_site_fract_x
_atom_site_fract_y
_atom_site_fract_z
Fe1 Fe 0.750 0.750 0.750
Fe2 Fe 0.250 0.250 0.250
Au1 Au 0.500 0.500 0.500
Hf1 Hf 0.000 0.000 0.000
```

- E (eV/atom) = -7.55
- energy relative to the lowest polymorph listed for this composition (eV per atom) = 0.000
- total magnetic moment (μB/f.u.) = 3.95

[7]
Here is a relaxed Np2PbC crystal from Alexandria via LeMat-Bulk. Energies are from PBE.

Geometry as CIF:
```
data_Np2PbC
_cell_length_a 3.306
_cell_length_b 3.306
_cell_length_c 9.065
_cell_angle_alpha 79.49
_cell_angle_beta 79.49
_cell_angle_gamma 60.00
_space_group_name_H-M_alt 'P 1'
_space_group_IT_number 1
loop_
_space_group_symop_operation_xyz
'x,y,z'
loop_
_atom_site_label
_atom_site_type_symbol
_atom_site_fract_x
_atom_site_fract_y
_atom_site_fract_z
Np1 Np 0.278 0.278 0.166
Pb1 Pb 0.500 0.500 0.500
C1 C 0.000 0.000 0.000
Np2 Np 0.722 0.722 0.834
```

- E (eV/atom) = -9.56
- total magnetic moment (μB/f.u.) = 6.89

[8]
Here is a relaxed Pr2Pt2Au crystal from Alexandria via LeMat-Bulk. Energies are from PBE.

Geometry as CIF:
```
data_Pr2Pt2Au
_cell_length_a 3.861
_cell_length_b 7.850
_cell_length_c 7.850
_cell_angle_alpha 90.00
_cell_angle_beta 90.00
_cell_angle_gamma 90.00
_space_group_name_H-M_alt 'P 1'
_space_group_IT_number 1
loop_
_space_group_symop_operation_xyz
'x,y,z'
loop_
_atom_site_label
_atom_site_type_symbol
_atom_site_fract_x
_atom_site_fract_y
_atom_site_fract_z
Pt1 Pt 0.000 0.129 0.371
Pr1 Pr 0.500 0.172 0.672
Pr2 Pr 0.500 0.828 0.328
Pt2 Pt 0.000 0.371 0.871
Au1 Au 0.000 0.000 0.000
Pr3 Pr 0.500 0.672 0.828
Pt3 Pt 0.000 0.629 0.129
Au2 Au 0.000 0.500 0.500
Pr4 Pr 0.500 0.328 0.172
Pt4 Pt 0.000 0.871 0.629
```

- E (eV/atom) = -5.97
- total magnetic moment (μB/f.u.) = 0.00

[9]
Here is a relaxed Ba2Ca3Tl4 crystal from Alexandria via LeMat-Bulk. Energies are from PBE.

Geometry as CIF:
```
data_Ba2Ca3Tl4
_cell_length_a 7.454
_cell_length_b 8.733
_cell_length_c 10.679
_cell_angle_alpha 90.00
_cell_angle_beta 110.43
_cell_angle_gamma 90.00
_space_group_name_H-M_alt 'P 1'
_space_group_IT_number 1
loop_
_space_group_symop_operation_xyz
'x,y,z'
loop_
_atom_site_label
_atom_site_type_symbol
_atom_site_fract_x
_atom_site_fract_y
_atom_site_fract_z
Ca1 Ca 0.500 0.500 0.000
Tl1 Tl 0.164 0.989 0.329
Tl2 Tl 0.836 0.011 0.671
Tl3 Tl 0.821 0.250 0.142
Ba1 Ba 0.403 0.096 0.806
Ba2 Ba 0.097 0.596 0.194
Ba3 Ba 0.903 0.404 0.806
Tl4 Tl 0.321 0.250 0.142
Ba4 Ba 0.597 0.904 0.194
Ca2 Ca 0.513 0.750 0.525
Ca3 Ca 0.487 0.250 0.475
Tl5 Tl 0.336 0.489 0.671
Tl6 Tl 0.664 0.511 0.329
Tl7 Tl 0.179 0.750 0.858
Tl8 Tl 0.679 0.750 0.858
Ca4 Ca 0.987 0.250 0.475
Ca5 Ca 0.013 0.750 0.525
Ca6 Ca 0.000 0.000 0.000
```

- E (eV/atom) = -2.48
- total magnetic moment (μB/f.u.) = 0.00

[10]
Here is a relaxed In2CoMo crystal from Alexandria via LeMat-Bulk. Energies are from PBE.

Geometry as CIF:
```
data_In2CoMo
_cell_length_a 5.179
_cell_length_b 5.179
_cell_length_c 5.179
_cell_angle_alpha 134.20
_cell_angle_beta 134.20
_cell_angle_gamma 66.78
_space_group_name_H-M_alt 'P 1'
_space_group_IT_number 1
loop_
_space_group_symop_operation_xyz
'x,y,z'
loop_
_atom_site_label
_atom_site_type_symbol
_atom_site_fract_x
_atom_site_fract_y
_atom_site_fract_z
In1 In 0.000 0.000 0.000
In2 In 0.500 0.500 0.000
Co1 Co 0.750 0.250 0.500
Mo1 Mo 0.250 0.750 0.500
```

- E (eV/atom) = -5.39
- energy relative to the lowest polymorph listed for this composition (eV per atom) = 0.245
- total magnetic moment (μB/f.u.) = 2.67

[11]
Here is a relaxed Ti2Ge2Se7 crystal from Alexandria via LeMat-Bulk. Energies are from PBE.

Geometry as CIF:
```
data_Ti2Ge2Se7
_cell_length_a 10.461
_cell_length_b 6.692
_cell_length_c 6.692
_cell_angle_alpha 114.95
_cell_angle_beta 81.75
_cell_angle_gamma 81.75
_space_group_name_H-M_alt 'P 1'
_space_group_IT_number 1
loop_
_space_group_symop_operation_xyz
'x,y,z'
loop_
_atom_site_label
_atom_site_type_symbol
_atom_site_fract_x
_atom_site_fract_y
_atom_site_fract_z
Se1 Se 0.328 0.482 0.482
Ti1 Ti 0.500 0.655 0.345
Ti2 Ti 0.500 0.345 0.655
Ge1 Ge 0.236 0.852 0.852
Se2 Se 0.000 0.000 0.000
Se3 Se 0.628 0.969 0.336
Se4 Se 0.372 0.664 0.031
Se5 Se 0.372 0.031 0.664
Se6 Se 0.628 0.336 0.969
Ge2 Ge 0.764 0.148 0.148
Se7 Se 0.672 0.518 0.518
```

- E (eV/atom) = -5.05
- total magnetic moment (μB/f.u.) = 0.00
- formation energy without anion corrections (meV/atom) = -553

[12]
Here is a relaxed MnGaCoRuS crystal from Alexandria via LeMat-Bulk. Energies are from PBE.

Geometry as CIF:
```
data_MnGaCoRuS
_cell_length_a 4.060
_cell_length_b 2.812
_cell_length_c 11.900
_cell_angle_alpha 90.00
_cell_angle_beta 100.30
_cell_angle_gamma 90.00
_space_group_name_H-M_alt 'P 1'
_space_group_IT_number 1
loop_
_space_group_symop_operation_xyz
'x,y,z'
loop_
_atom_site_label
_atom_site_type_symbol
_atom_site_fract_x
_atom_site_fract_y
_atom_site_fract_z
Mn1 Mn 0.456 0.500 0.938
Ru1 Ru 0.995 0.000 0.058
S1 S 0.927 0.500 0.876
Ga1 Ga 0.545 0.000 0.651
Mn2 Mn 0.456 0.000 0.438
Ru2 Ru 0.995 0.500 0.558
Ga2 Ga 0.545 0.500 0.151
Co1 Co 0.105 0.000 0.762
Co2 Co 0.105 0.500 0.262
S2 S 0.927 0.000 0.376
```

- E (eV/atom) = -6.62
- energy relative to the lowest polymorph listed for this composition (eV per atom) = 0.158
- total magnetic moment (μB/f.u.) = 2.39
- formation energy without anion corrections (meV/atom) = -77

Among the records above, which one has the lowest E?
Np2PbC

Which of these has the highest E?
Ba2Ca3Tl4

Repeat the second record exactly.
Here is a relaxed CePrMg crystal from Alexandria via LeMat-Bulk. Energies are from PBE.

Geometry as CIF:
```
data_CePrMg
_cell_length_a 3.333
_cell_length_b 5.541
_cell_length_c 5.541
_cell_angle_alpha 120.00
_cell_angle_beta 90.00
_cell_angle_gamma 90.00
_space_group_name_H-M_alt 'P 1'
_space_group_IT_number 1
loop_
_space_group_symop_operation_xyz
'x,y,z'
loop_
_atom_site_label
_atom_site_type_symbol
_atom_site_fract_x
_atom_site_fract_y
_atom_site_fract_z
Ce1 Ce 0.029 0.000 0.000
Pr1 Pr 0.621 0.667 0.333
Mg1 Mg 0.350 0.333 0.667
```

- E (eV/atom) = -4.01
- energy relative to the lowest polymorph listed for this composition (eV per atom) = 0.047
- total magnetic moment (μB/f.u.) = 0.96